No. 1
A crystal of ZrNbIn2I relaxed with PBEsol, computed with SCAN.

Crystal system ... tetragonal
Raw total energy ... -162.8 eV per formula unit
Uncorrected formation energy ... 4.5 eV/f.u.
Calculated density ... 6.139 Mg/m³
N(E_F) ... 3.46 states/eV/f.u.

a = 5.1842 Å, b = 5.3114 Å, c = 5.3114 Å
α = 90.00°, β = 90.00°, γ = 90.00°
With the nearest neighbours (Å) after each atom.
Atoms (fractional coordinates):
Zr 0.5000 0.5000 0.5000  8 In 3.71, 4 I 3.76
In 0.0000 0.0000 0.5000  2 Nb 2.66
I 0.5000 0.0000 0.0000  2 Nb 2.59
Nb 0.0000 0.0000 0.0000  2 I 2.59, 4 In 2.66
In 0.0000 0.5000 0.0000  2 Nb 2.66

=====

No. 2
A crystal of Fe2RhW relaxed with PBEsol, computed with SCAN.

Energy relative to the elements ... 145 meV per atom
Crystal system ... orthorhombic
Raw total energy ... -139.1 eV per formula unit
Offset from the most stable computed form ... 158 meV/atom
Calculated density ... 13.506 Mg/m³
N(E_F) ... 3.70 states/eV/f.u.

a = 2.6290 Å, b = 3.5231 Å, c = 5.2889 Å
α = 90.00°, β = 90.00°, γ = 90.00°
With the nearest neighbours (Å) after each atom.
Atoms (fractional coordinates):
Rh 0.5000 0.5000 0.0000  8 Fe 2.54, 2 Rh 2.63, 2 W 2.64
Fe 0.0000 0.0000 0.7599  4 Rh 2.54, 4 Fe 2.54-2.75, 4 W 2.59
Fe 0.0000 0.0000 0.2401  4 Rh 2.54, 4 Fe 2.54-2.75, 4 W 2.59
W 0.5000 0.5000 0.5000  8 Fe 2.59, 2 W 2.63, 2 Rh 2.64

=====

No. 3
A crystal of Mn3PF relaxed with PBEsol, computed with SCAN.

Crystal system ... cubic
Raw total energy ... -70.0 eV per formula unit
Uncorrected formation energy ... -1.3 eV/f.u.
Calculated density ... 5.156 Mg/m³
N(E_F) ... 3.60 states/eV/f.u.

a = 4.1051 Å, b = 4.1051 Å, c = 4.1051 Å
α = 90.00°, β = 90.00°, γ = 90.00°
With the nearest neighbours (Å) after each atom.
Atoms (fractional coordinates):
Mn 0.0000 0.5000 0.0000  2 F 2.05
F 0.0000 0.0000 0.0000  6 Mn 2.05
Mn 0.0000 0.0000 0.5000  2 F 2.05
P 0.5000 0.5000 0.5000  12 Mn 2.90
Mn 0.5000 0.0000 0.0000  2 F 2.05

=====

No. 4
A crystal of BeCo2As relaxed with PBEsol, computed with SCAN.

Energy relative to the elements ... 179 meV per atom
Crystal system ... cubic
Raw total energy ... -58.4 eV per formula unit
Offset from the most stable computed form ... 328 meV/atom
Calculated density ... 7.855 Mg/m³
N(E_F) ... 2.54 states/eV/f.u.

a = 3.9221 Å, b = 3.9221 Å, c = 3.9221 Å
α = 60.00°, β = 60.00°, γ = 60.00°
With the nearest neighbours (Å) after each atom.
Atoms (fractional coordinates):
Co 0.0000 0.0000 0.0000  4 Co 2.40, 4 Be 2.40
As 0.5000 0.5000 0.5000  4 Be 2.40, 4 Co 2.40
Be 0.7500 0.7500 0.7500  4 As 2.40, 4 Co 2.40
Co 0.2500 0.2500 0.2500  4 As 2.40, 4 Co 2.40

=====

No. 5
A crystal of CdPb2Se relaxed with PBEsol, computed with SCAN.

Crystal system ... orthorhombic
Raw total energy ... -202.8 eV per formula unit
Uncorrected formation energy ... -0.7 eV/f.u.
Offset from the most stable computed form ... 0 meV/atom
Calculated density ... 9.112 Mg/m³
N(E_F) ... 1.31 states/eV/f.u.

a = 4.2784 Å, b = 4.2807 Å, c = 6.0278 Å
α = 90.00°, β = 90.00°, γ = 90.00°
With the nearest neighbours (Å) after each atom.
Atoms (fractional coordinates):
Pb 0.1258 0.8755 0.0000  2 Cd 3.01, 4 Se 3.02-3.03
Pb 0.6240 0.3743 0.5000  2 Se 3.01, 4 Cd 3.02-3.03
Cd 0.1239 0.8741 0.5000  6 Pb 3.01-3.03
Se 0.6263 0.3761 0.0000  6 Pb 3.01-3.03

=====

No. 6
A crystal of BaReH9 relaxed with PBEsol, computed with SCAN.

Crystal system ... orthorhombic
Raw total energy ... -145.3 eV per formula unit
Offset from the most stable computed form ... 0 meV/atom
Calculated density ... 5.282 Mg/m³
N(E_F) ... 0.00 states/eV/f.u.

a = 5.0440 Å, b = 5.0440 Å, c = 9.4807 Å
α = 90.00°, β = 90.00°, γ = 119.88°
With the nearest neighbours (Å) after each atom.
Atoms (fractional coordinates):
H 0.9444 0.4731 0.8761  1 Re 1.71
H 0.5273 0.4727 0.6233  1 Re 1.71
Re 0.3340 0.6660 0.2500  9 H 1.67-1.71
Ba 0.0000 0.0000 0.0000  18 H 2.68-2.80
H 0.5269 0.0556 0.6239  1 Re 1.71
H 0.8570 0.1430 0.7500  1 Re 1.67
H 0.9444 0.4731 0.6239  1 Re 1.71
H 0.1430 0.8570 0.2500  1 Re 1.67
H 0.0556 0.5269 0.3761  1 Re 1.71
H 0.4731 0.9444 0.3761  1 Re 1.71
H 0.4727 0.5273 0.3767  1 Re 1.71
H 0.5273 0.4727 0.8767  1 Re 1.71
Re 0.6660 0.3340 0.7500  9 H 1.67-1.71
Ba 0.0000 0.0000 0.5000  18 H 2.68-2.80
H 0.4727 0.5273 0.1233  1 Re 1.71
H 0.8551 0.7156 0.7500  1 Re 1.67
H 0.0556 0.5269 0.1239  1 Re 1.71
H 0.5269 0.0556 0.8761  1 Re 1.71
H 0.7156 0.8551 0.2500  1 Re 1.67
H 0.4731 0.9444 0.1239  1 Re 1.71
H 0.1449 0.2844 0.2500  1 Re 1.67
H 0.2844 0.1449 0.7500  1 Re 1.67

=====

No. 7
A crystal of LiMo3Br relaxed with PBEsol, computed with SCAN.

Crystal system ... cubic
Raw total energy ... -116.7 eV per formula unit
Uncorrected formation energy ... 9.8 eV/f.u.
Calculated density ... 7.944 Mg/m³
N(E_F) ... 5.68 states/eV/f.u.

a = 4.2785 Å, b = 4.2785 Å, c = 4.2785 Å
α = 90.00°, β = 90.00°, γ = 90.00°
With the nearest neighbours (Å) after each atom.
Atoms (fractional coordinates):
Br 0.5000 0.5000 0.5000  12 Mo 3.03
Mo 0.0000 0.5000 0.0000  2 Li 2.14
Mo 0.0000 0.0000 0.5000  2 Li 2.14
Li 0.0000 0.0000 0.0000  6 Mo 2.14
Mo 0.5000 0.0000 0.0000  2 Li 2.14

=====

No. 8
A crystal of BeCdTc relaxed with PBEsol, computed with SCAN.

Energy relative to the elements ... 1034 meV per atom
Crystal system ... cubic
Raw total energy ... -66.7 eV per formula unit
Offset from the most stable computed form ... 734 meV/atom
Calculated density ... 6.900 Mg/m³
N(E_F) ... 1.24 states/eV/f.u.

a = 4.2111 Å, b = 4.2111 Å, c = 4.2111 Å
α = 60.00°, β = 60.00°, γ = 60.00°
With the nearest neighbours (Å) after each atom.
Atoms (fractional coordinates):
Cd 0.5000 0.5000 0.5000  4 Tc 2.58
Be 0.0000 0.0000 0.0000  4 Tc 2.58
Tc 0.2500 0.2500 0.2500  4 Be 2.58, 4 Cd 2.58

=====

Please write out number 6 again, unchanged.
A crystal of BaReH9 relaxed with PBEsol, computed with SCAN.

Crystal system ... orthorhombic
Raw total energy ... -145.3 eV per formula unit
Offset from the most stable computed form ... 0 meV/atom
Calculated density ... 5.282 Mg/m³
N(E_F) ... 0.00 states/eV/f.u.

a = 5.0440 Å, b = 5.0440 Å, c = 9.4807 Å
α = 90.00°, β = 90.00°, γ = 119.88°
With the nearest neighbours (Å) after each atom.
Atoms (fractional coordinates):
H 0.9444 0.4731 0.8761  1 Re 1.71
H 0.5273 0.4727 0.6233  1 Re 1.71
Re 0.3340 0.6660 0.2500  9 H 1.67-1.71
Ba 0.0000 0.0000 0.0000  18 H 2.68-2.80
H 0.5269 0.0556 0.6239  1 Re 1.71
H 0.8570 0.1430 0.7500  1 Re 1.67
H 0.9444 0.4731 0.6239  1 Re 1.71
H 0.1430 0.8570 0.2500  1 Re 1.67
H 0.0556 0.5269 0.3761  1 Re 1.71
H 0.4731 0.9444 0.3761  1 Re 1.71
H 0.4727 0.5273 0.3767  1 Re 1.71
H 0.5273 0.4727 0.8767  1 Re 1.71
Re 0.6660 0.3340 0.7500  9 H 1.67-1.71
Ba 0.0000 0.0000 0.5000  18 H 2.68-2.80
H 0.4727 0.5273 0.1233  1 Re 1.71
H 0.8551 0.7156 0.7500  1 Re 1.67
H 0.0556 0.5269 0.1239  1 Re 1.71
H 0.5269 0.0556 0.8761  1 Re 1.71
H 0.7156 0.8551 0.2500  1 Re 1.67
H 0.4731 0.9444 0.1239  1 Re 1.71
H 0.1449 0.2844 0.2500  1 Re 1.67
H 0.2844 0.1449 0.7500  1 Re 1.67

=====

Repeat the eighth record exactly.
A crystal of BeCdTc relaxed with PBEsol, computed with SCAN.

Energy relative to the elements ... 1034 meV per atom
Crystal system ... cubic
Raw total energy ... -66.7 eV per formula unit
Offset from the most stable computed form ... 734 meV/atom
Calculated density ... 6.900 Mg/m³
N(E_F) ... 1.24 states/eV/f.u.

a = 4.2111 Å, b = 4.2111 Å, c = 4.2111 Å
α = 60.00°, β = 60.00°, γ = 60.00°
With the nearest neighbours (Å) after each atom.
Atoms (fractional coordinates):
Cd 0.5000 0.5000 0.5000  4 Tc 2.58
Be 0.0000 0.0000 0.0000  4 Tc 2.58
Tc 0.2500 0.2500 0.2500  4 Be 2.58, 4 Cd 2.58

=====

Q: What is the raw total energy in the seventh record?
A: -116.7 eV per formula unit

=====

Please write out number 3 again, unchanged.
A crystal of Mn3PF relaxed with PBEsol, computed with SCAN.

Crystal system ... cubic
Raw total energy ... -70.0 eV per formula unit
Uncorrected formation energy ... -1.3 eV/f.u.
Calculated density ... 5.156 Mg/m³
N(E_F) ... 3.60 states/eV/f.u.

a = 4.1051 Å, b = 4.1051 Å, c = 4.1051 Å
α = 90.00°, β = 90.00°, γ = 90.00°
With the nearest neighbours (Å) after each atom.
Atoms (fractional coordinates):
Mn 0.0000 0.5000 0.0000  2 F 2.05
F 0.0000 0.0000 0.0000  6 Mn 2.05
Mn 0.0000 0.0000 0.5000  2 F 2.05
P 0.5000 0.5000 0.5000  12 Mn 2.90
Mn 0.5000 0.0000 0.0000  2 F 2.05